Here is Ba4TiO5 after structural relaxation from the Alexandria database. Energies are from GGA-PBE.

Calculated values
Total moment: 1.90 μB per formula unit
E: -64.177 eV for the cell shown

Cell: 6.6526 6.6526 6.6526 Å, 99.98 99.98 130.79°
Closest atoms and distances in Å follow each position.
Sites, in units of the cell vectors:
Ba 0.1162 0.3032 0.4194  5 O 2.63-2.89
Ba 0.3032 0.8838 0.1870  5 O 2.63-2.89
Ba 0.6968 0.1162 0.8130  5 O 2.63-2.89
Ba 0.8838 0.6968 0.5806  5 O 2.63-2.89
Ti 0.5653 0.5653 0.0000  5 O 1.83-2.02
O 0.2796 0.5753 0.8593  1 Ti 2.02
O 0.4203 0.2796 0.7044  1 Ti 2.02
O 0.5753 0.7160 0.2956  1 Ti 2.02
O 0.7160 0.4203 0.1407  1 Ti 2.02
O 0.8962 0.8962 0.0000  1 Ti 1.83